Computed, not measured: crystalline YCo2S4 at its relaxed geometry at the PBE level of DFT.

POSCAR file:
```
YCo2S4
1.0
-3.580 3.580 5.077
3.580 -3.580 5.077
3.580 3.580 -5.077
Y Co S
2 4 8
Direct
0.375 0.625 0.750
0.625 0.375 0.250
0.000 0.000 0.000
0.000 0.000 0.500
0.000 0.500 0.000
0.500 0.000 0.500
0.184 0.228 0.956
0.228 0.184 0.456
0.228 0.772 0.044
0.228 0.772 0.456
0.772 0.228 0.544
0.772 0.228 0.956
0.772 0.816 0.544
0.816 0.772 0.044
```

The uncorrected formation energy is -0.68 eV per atom. The magnetization is 2.09 μB/cell. As for the total energy: -5.995 eV per atom.

***

Computed, not measured: crystalline Cr2CoSe at its relaxed geometry at the PBE level of DFT.

POSCAR file:
```
Cr2CoSe
1.0
4.304 -1.499 0.000
4.304 1.499 0.000
-0.826 0.000 3.853
Cr Co Se
2 1 1
Direct
0.247 0.247 0.223
0.753 0.753 0.777
0.500 0.500 0.000
0.000 0.000 0.500
```

The uncorrected formation energy is 0.30 eV per atom. The magnetization is 0.00 μB/cell. As for the total energy: -7.163 eV per atom.

***

Computed, not measured: crystalline NaZrTe2P at its relaxed geometry at the PBE level of DFT.

POSCAR file:
```
NaZrTe2P
1.0
5.396 0.000 0.000
0.000 5.396 0.000
0.000 0.000 4.723
Na Zr Te P
1 1 2 1
Direct
0.000 0.000 0.000
0.500 0.500 0.000
0.000 0.500 0.500
0.500 0.000 0.500
0.000 0.000 0.500
```

The uncorrected formation energy is 0.36 eV per atom. The magnetization is 1.70 μB/cell. As for the total energy: -3.957 eV per atom.

***

Computed, not measured: crystalline Ac3CuBr3 at its relaxed geometry at the PBE level of DFT.

POSCAR file:
```
Ac3CuBr3
1.0
-6.347 6.347 6.347
6.347 -6.347 6.347
6.347 6.347 -6.347
Ac Cu Br
12 4 12
Direct
0.011 0.022 0.261
0.011 0.489 0.750
0.022 0.261 0.011
0.239 0.261 0.750
0.239 0.478 0.489
0.261 0.011 0.022
0.261 0.750 0.239
0.478 0.489 0.239
0.489 0.239 0.478
0.489 0.750 0.011
0.750 0.011 0.489
0.750 0.239 0.261
0.000 0.250 0.500
0.250 0.250 0.250
0.250 0.500 0.000
0.500 0.000 0.250
0.250 0.758 0.742
0.250 0.992 0.508
0.508 0.250 0.992
0.508 0.758 0.517
0.517 0.508 0.758
0.742 0.250 0.758
0.742 0.992 0.983
0.758 0.517 0.508
0.758 0.742 0.250
0.983 0.742 0.992
0.992 0.508 0.250
0.992 0.983 0.742
```

The uncorrected formation energy is -1.16 eV per atom. The magnetization is 0.00 μB/cell. As for the total energy: -4.227 eV per atom.

***

Computed, not measured: crystalline Sm6Fe13Bi at its relaxed geometry at the PBE level of DFT.

POSCAR file:
```
Sm6Fe13Bi
1.0
-4.018 4.018 11.650
4.018 -4.018 11.650
4.018 4.018 -11.650
Sm Fe Bi
12 26 2
Direct
0.022 0.522 0.177
0.103 0.103 0.000
0.155 0.978 0.500
0.345 0.845 0.823
0.397 0.397 0.000
0.478 0.655 0.500
0.522 0.345 0.500
0.603 0.603 0.000
0.655 0.155 0.177
0.845 0.022 0.500
0.897 0.897 0.000
0.978 0.478 0.823
0.000 0.500 0.500
0.020 0.291 0.500
0.067 0.209 0.276
0.120 0.620 0.857
0.209 0.480 0.500
0.209 0.933 0.143
0.238 0.738 0.857
0.262 0.120 0.500
0.291 0.433 0.724
0.291 0.791 0.271
0.380 0.238 0.500
0.433 0.709 0.143
0.480 0.980 0.271
0.500 0.000 0.500
0.520 0.020 0.729
0.567 0.291 0.857
0.620 0.762 0.500
0.709 0.209 0.729
0.709 0.567 0.276
0.738 0.880 0.500
0.762 0.262 0.143
0.791 0.067 0.857
0.791 0.520 0.500
0.880 0.380 0.143
0.933 0.791 0.724
0.980 0.709 0.500
0.250 0.250 0.000
0.750 0.750 0.000
```

The energy of formation comes out at -0.12 eV per atom. The magnetization is 51.94 μB/cell. As for the total energy: -7.230 eV per atom.

***

Computed, not measured: crystalline HoAlCuRu at its relaxed geometry at the PBE level of DFT.

POSCAR file:
```
HoAlCuRu
1.0
0.000 3.220 3.220
3.220 0.000 3.220
3.220 3.220 0.000
Ho Al Cu Ru
1 1 1 1
Direct
0.000 0.000 0.000
0.500 0.500 0.500
0.750 0.750 0.750
0.250 0.250 0.250
```

The energy of formation comes out at -0.33 eV per atom. The magnetization is 0.00 μB/cell. As for the total energy: -5.750 eV per atom.